Record 1
DFT (SCAN) results for a crystal of RbMnS2N relaxed with PBEsol.

Values from the calculation:
formation energy from raw total energies	1.688	eV/atom
electronic total energy	-11.820	eV per atom
space group	No. 123

The structure in extended XYZ format:
```
5
Lattice="5.392 0.000 0.000 0.000 5.392 0.000 0.000 0.000 4.462" Properties=species:S:1:pos:R:3 pbc="T T T"
Rb 0.000 0.000 0.000
Mn 2.696 2.696 2.231
S 0.000 2.696 0.000
S 2.696 0.000 0.000
N 0.000 0.000 2.231
```

---

Record 2
DFT (SCAN) results for a crystal of Tl2PtBr relaxed with PBEsol.

Values from the calculation:
formation energy from raw total energies	0.026	eV/atom
electronic total energy	-58.566	eV per atom
energy above the lowest structure with this stoichiometry	0	meV/atom
space group	No. 71

The structure in extended XYZ format:
```
8
Lattice="4.252 0.000 0.000 0.000 5.973 0.000 0.000 0.000 8.010" Properties=species:S:1:pos:R:3 pbc="T T T"
Tl 0.000 0.000 1.723
Tl 0.000 0.000 6.287
Tl 2.126 2.987 2.282
Tl 2.126 2.987 5.728
Pt 0.000 2.987 4.005
Pt 2.126 0.000 0.000
Br 0.000 2.987 0.000
Br 2.126 0.000 4.005
```

---

Record 3
DFT (SCAN) results for a crystal of CsLiSb3 relaxed with PBEsol.

Values from the calculation:
formation energy from raw total energies	1.318	eV/atom
electronic total energy	-29.078	eV per atom
space group	No. 221

The structure in extended XYZ format:
```
5
Lattice="6.118 0.000 0.000 0.000 6.118 0.000 0.000 0.000 6.118" Properties=species:S:1:pos:R:3 pbc="T T T"
Cs 0.000 0.000 0.000
Li 3.059 3.059 3.059
Sb 0.000 0.000 3.059
Sb 0.000 3.059 0.000
Sb 3.059 0.000 0.000
```

---

Record 4
DFT (SCAN) results for a crystal of Cd2InW relaxed with PBEsol.

Values from the calculation:
electronic total energy	-40.407	eV per atom
space group	No. 8

The structure in extended XYZ format:
```
8
Lattice="10.059 0.000 0.000 0.000 2.925 0.000 -1.084 0.000 5.171" Properties=species:S:1:pos:R:3 pbc="T T T"
Cd 0.000 0.000 0.000
Cd 1.619 0.000 4.067
Cd 5.029 1.462 0.000
Cd 6.648 1.462 4.067
In 2.297 1.462 1.613
In 7.326 0.000 1.613
W -0.444 1.462 2.585
W 4.585 0.000 2.585
```

---

Record 5
DFT (SCAN) results for a crystal of Ca3FeRu relaxed with PBEsol.

Values from the calculation:
electronic total energy	-15.341	eV per atom
space group	No. 221

The structure in extended XYZ format:
```
5
Lattice="5.022 0.000 0.000 0.000 5.022 0.000 0.000 0.000 5.022" Properties=species:S:1:pos:R:3 pbc="T T T"
Ca 0.000 0.000 2.511
Ca 0.000 2.511 0.000
Ca 2.511 0.000 0.000
Fe 0.000 0.000 0.000
Ru 2.511 2.511 2.511
```

---

Record 6
DFT (SCAN) results for a crystal of Mg3IrAu relaxed with PBEsol.

Values from the calculation:
electronic total energy	-30.971	eV per atom
space group	No. 221

The structure in extended XYZ format:
```
5
Lattice="4.850 0.000 0.000 0.000 4.850 0.000 0.000 0.000 4.850" Properties=species:S:1:pos:R:3 pbc="T T T"
Mg 0.000 0.000 2.425
Mg 0.000 2.425 0.000
Mg 2.425 0.000 0.000
Ir 0.000 0.000 0.000
Au 2.425 2.425 2.425
```

---

Record 7
DFT (SCAN) results for a crystal of Os2W relaxed with PBEsol.

Values from the calculation:
electronic total energy	-71.032	eV per atom
energy above the lowest structure with this stoichiometry	109	meV/atom
space group	No. 139

The structure in extended XYZ format:
```
6
Lattice="2.735 0.000 0.000 0.000 2.735 0.000 0.000 0.000 11.713" Properties=species:S:1:pos:R:3 pbc="T T T"
Os 0.000 0.000 2.004
Os 0.000 0.000 9.709
Os 1.367 1.367 3.852
Os 1.367 1.367 7.861
W 0.000 0.000 5.857
W 1.367 1.367 0.000
```

---

Record 8
DFT (SCAN) results for a crystal of K2TaAgS4 relaxed with PBEsol.

Values from the calculation:
formation energy from raw total energies	-1.183	eV/atom
electronic total energy	-20.323	eV per atom
space group	No. 70

The structure in extended XYZ format:
```
16
Lattice="0.000 6.523 11.224 2.917 0.000 11.224 2.917 6.523 0.000" Properties=species:S:1:pos:R:3 pbc="T T T"
K 2.188 4.893 1.253
K 3.646 8.154 6.865
K 2.188 4.893 15.582
K 3.646 8.154 21.194
Ta 0.729 1.631 2.806
Ta 5.104 11.416 19.641
Ag 2.188 4.893 8.418
Ag 3.646 8.154 14.030
S 2.000 2.995 4.129
S 3.833 6.256 9.741
S 2.375 6.790 4.129
S 2.375 2.995 12.707
S 3.459 10.052 9.741
S 3.459 6.256 18.318
S 2.000 6.790 12.707
S 3.833 10.052 18.318
```

---

The records above give, respectively, magnetization values of 7.99 0.00 0.00 0.00 3.79 0.00 0.00 0.00 μB/cell.